DFT (PBE) results for crystalline Tb8SmEr5 at its relaxed geometry.

a = 8.419 Å, b = 8.419 Å, c = 8.419 Å
α = 111.44°, β = 105.60°, γ = 111.44°
Positions (direct):
Tb1 0.164 0.738 0.079
Tb2 0.921 0.085 0.659
Tb3 0.724 0.254 0.329
Tb4 0.671 0.394 0.924
Tb5 0.530 0.606 0.276
Tb6 0.574 0.915 0.836
Tb7 0.341 0.262 0.426
Tb8 0.076 0.746 0.470
Sm1 0.250 0.500 0.750
Er1 0.039 0.320 0.135
Er2 0.865 0.904 0.185
Er3 0.815 0.680 0.719
Er4 0.500 0.000 0.500
Er5 0.281 0.096 0.961

Summary:
The space group is No. 82. As for the magnetization: 0.00 μB/f.u. As for the crystal system: tetragonal. The calculation puts the final energy at -4.36 eV per atom.